VASP calculation (PBE) on Sr2ScCr after structural relaxation.

```
Sr2ScCr
1.0
-0.306 2.031 5.257
-5.435 1.287 -0.813
1.816 -5.270 -0.888
Cr Sc Sr
1 1 2
direct
0.500 0.500 0.000
0.750 0.250 0.500
0.000 0.000 0.000
0.250 0.750 0.500
```

- ΔE_f: 0.606 eV/atom
- DOS(E_F): 5.033 states/eV per cell

---

VASP calculation (PBE) on CsNaGe2I6 after structural relaxation.

```
CsNaGe2I6
1.0
11.250 -0.154 -0.160
3.546 9.897 -1.547
3.546 -1.912 9.833
Cs Na Ge I
2 2 4 12
direct
0.250 0.888 0.112
0.750 0.112 0.888
0.250 0.219 0.781
0.750 0.781 0.219
0.325 0.713 0.571
0.175 0.429 0.287
0.675 0.287 0.429
0.825 0.571 0.713
0.158 0.968 0.799
0.342 0.201 0.032
0.842 0.032 0.201
0.658 0.799 0.968
0.438 0.835 0.384
0.062 0.616 0.165
0.562 0.165 0.616
0.938 0.384 0.835
0.022 0.671 0.617
0.478 0.383 0.329
0.978 0.329 0.383
0.522 0.617 0.671
```

- Energy relative to the elements, uncorrected: -0.706 eV per atom
- DOS(E_F): 0.000 states/eV per cell

---

VASP calculation (PBE) on LaPrIrCl after structural relaxation.

```
LaPrIrCl
1.0
4.160 -0.001 0.000
-2.079 3.602 -0.001
-2.078 -1.201 7.799
La Pr Ir Cl
1 1 1 1
direct
0.507 0.151 0.674
0.106 0.951 0.072
0.304 0.550 0.869
0.961 0.379 0.355
```

- Energy relative to the elements, uncorrected: -1.228 eV per atom
- DOS(E_F): 1.534 states/eV per cell

---

VASP calculation (PBE) on Mg5H3Ir2 after structural relaxation.

```
Mg5H3Ir2
1.0
-6.003 2.992 3.789
0.174 -4.035 1.134
3.529 -1.021 3.549
Mg H Ir
5 3 2
direct
0.960 0.523 0.454
0.387 0.635 0.659
0.779 0.166 0.986
0.192 0.868 0.997
0.541 0.366 0.349
0.000 0.964 0.614
0.083 0.301 0.028
0.578 0.916 0.287
0.178 0.168 0.382
0.752 0.860 0.573
```

- Total energy: -38.68 eV for the cell shown
- DOS(E_F): 2.690 states/eV per cell

---

VASP calculation (PBE) on TiIn3Sn after structural relaxation.

```
TiIn3Sn
1.0
5.347 0.000 0.000
0.000 5.347 0.000
0.000 0.000 5.347
Ti Sn In
1 1 3
direct
0.000 0.000 0.000
0.500 0.500 0.500
0.000 0.500 0.000
0.000 0.000 0.500
0.500 0.000 0.000
```

- ΔE_f: 0.470 eV/atom
- DOS(E_F): 6.007 states/eV per cell

---

VASP calculation (PBE) on CaGa after structural relaxation.

```
CaGa
1.0
6.873 0.000 0.000
0.000 6.873 0.000
0.000 0.000 6.873
Ca Ga
4 4
direct
0.250 0.250 0.250
0.250 0.750 0.750
0.750 0.250 0.750
0.750 0.750 0.250
0.000 0.000 0.000
0.000 0.500 0.500
0.500 0.000 0.500
0.500 0.500 0.000
```

- ΔE_f: 0.440 eV/atom
- DOS(E_F): 6.569 states/eV per cell

---

VASP calculation (PBE) on Sr2MgAl12Rh3 after structural relaxation.

```
Sr2MgAl12Rh3
1.0
8.017 -0.614 -0.435
3.425 7.274 -0.435
3.425 1.994 7.009
Sr Mg Al Rh
2 1 12 3
direct
0.600 0.600 0.600
0.400 0.400 0.400
0.000 0.000 0.000
0.252 0.252 0.892
0.868 0.868 0.367
0.367 0.868 0.868
0.892 0.252 0.252
0.868 0.367 0.868
0.252 0.892 0.252
0.748 0.748 0.108
0.132 0.132 0.633
0.633 0.132 0.132
0.108 0.748 0.748
0.132 0.633 0.132
0.748 0.108 0.748
0.500 0.000 0.000
0.000 0.500 0.000
0.000 0.000 0.500
```

- ΔE_f: -0.033 eV/atom
- DOS(E_F): 9.607 states/eV per cell

---

VASP calculation (PBE) on Ac2Dy2Y after structural relaxation.

```
Ac2Dy2Y
1.0
-5.814 0.126 -3.093
-3.262 -11.048 5.688
3.294 9.386 1.188
Ac Dy Y
4 4 2
direct
0.620 0.260 0.412
0.208 0.241 0.591
0.792 0.759 0.409
0.380 0.740 0.588
0.574 0.750 0.001
0.191 0.757 0.206
0.426 0.250 0.999
0.809 0.243 0.794
0.016 0.256 0.204
0.984 0.744 0.796
```

- ΔE_f: 0.065 eV/atom
- DOS(E_F): 17.928 states/eV per cell